No. 1
A plane-wave DFT calculation with GGA-PBE was carried out for a relaxed structure of TbDyInCo.

Values from the calculation:
Crystal system: cubic
Size of the total moment in Bohr magnetons per cell: 1.24
E_tot in Ha/atom: -0.1824
DFT formation energy in eV per atom: -0.19
ρ in g cm⁻³: 8.78
Space-group type: F-43m

a b c (Å): 5.0978 5.0978 5.0978
angles (deg): 60.00 60.00 60.00
Last column: nearest neighbours and their distance in Å.
Fractional positions:
1 Co 0.2500 0.2500 0.2500  4 Dy 3.12, 4 Tb 3.12
2 In 0.7500 0.7500 0.7500  4 Tb 3.12, 4 Dy 3.12
3 Tb 0.5000 0.5000 0.5000  4 Co 3.12, 4 In 3.12
4 Dy 0.0000 0.0000 0.0000  4 In 3.12, 4 Co 3.12


No. 2
A plane-wave DFT calculation with GGA-PBE was carried out for a relaxed structure of Dy5ZnIn2Co2.

Values from the calculation:
Crystal system: tetragonal
Size of the total moment in Bohr magnetons per cell: 0.00
E_tot in Ha/atom: -0.1726
DFT formation energy in eV per atom: -0.30
ρ in g cm⁻³: 8.76
Space-group type: P4/mbm

a b c (Å): 3.5434 11.4502 11.4502
angles (deg): 90.00 90.00 90.00
Last column: nearest neighbours and their distance in Å.
Fractional positions:
1 Dy 0.5000 0.2056 0.0732  2 Co 2.65
2 Dy 0.5000 0.7944 0.9268  2 Co 2.65
3 Dy 0.5000 0.0732 0.7944  2 Co 2.65
4 Dy 0.5000 0.7056 0.4268  2 Co 2.65
5 Dy 0.5000 0.9268 0.2056  2 Co 2.65
6 Dy 0.5000 0.2944 0.5732  2 Co 2.65
7 Dy 0.5000 0.5732 0.7056  2 Co 2.65
8 Dy 0.5000 0.4268 0.2944  2 Co 2.65
9 Dy 0.5000 0.5000 0.0000  4 Co 2.79
10 Dy 0.5000 0.0000 0.5000  4 Co 2.79
11 Zn 0.0000 0.0000 0.0000  8 Dy 3.06
12 Zn 0.0000 0.5000 0.5000  8 Dy 3.06
13 In 0.0000 0.6767 0.1767  1 Co 3.08, 6 Dy 3.37-3.38
14 In 0.0000 0.3233 0.8233  1 Co 3.08, 6 Dy 3.37-3.38
15 In 0.0000 0.1767 0.3233  1 Co 3.08, 6 Dy 3.37-3.38
16 In 0.0000 0.8233 0.6767  1 Co 3.08, 6 Dy 3.37-3.38
17 Co 0.0000 0.1333 0.6333  6 Dy 2.65-2.79
18 Co 0.0000 0.8667 0.3667  6 Dy 2.65-2.79
19 Co 0.0000 0.6333 0.8667  6 Dy 2.65-2.79
20 Co 0.0000 0.3667 0.1333  6 Dy 2.65-2.79


No. 3
A plane-wave DFT calculation with GGA-PBE was carried out for a relaxed structure of DyCo4Ir.

Values from the calculation:
Crystal system: cubic
Size of the total moment in Bohr magnetons per cell: 6.91
E_tot in Ha/atom: -0.2609
DFT formation energy in eV per atom: -0.12
ρ in g cm⁻³: 11.84
Space-group type: F-43m

a b c (Å): 4.8932 4.8932 4.8932
angles (deg): 60.00 60.00 60.00
Last column: nearest neighbours and their distance in Å.
Fractional positions:
1 Ir 0.2500 0.2500 0.2500  12 Co 2.87, 4 Dy 3.00
2 Co 0.6247 0.6247 0.1258  6 Co 2.44-2.45
3 Co 0.6247 0.1258 0.6247  6 Co 2.44-2.45
4 Co 0.6247 0.6247 0.6247  6 Co 2.44-2.45
5 Co 0.1258 0.6247 0.6247  6 Co 2.44-2.45
6 Dy 0.0000 0.0000 0.0000  12 Co 2.87, 4 Ir 3.00


No. 4
A plane-wave DFT calculation with GGA-PBE was carried out for a relaxed structure of Dy6Co2Ir.

Values from the calculation:
Crystal system: orthorhombic
Size of the total moment in Bohr magnetons per cell: 0.00
E_tot in Ha/atom: -0.2195
DFT formation energy in eV per atom: -0.34
ρ in g cm⁻³: 10.26
Space-group type: Immm

a b c (Å): 8.1470 8.1470 8.1470
angles (deg): 108.17 110.48 109.77
Last column: nearest neighbours and their distance in Å.
Fractional positions:
1 Dy 0.5584 0.7354 0.8230  3 Co 2.89-2.96, 1 Ir 2.98
2 Dy 0.4416 0.2646 0.1770  3 Co 2.89-2.96, 1 Ir 2.98
3 Dy 0.0876 0.2646 0.8230  3 Co 2.89-2.96, 1 Ir 2.98
4 Dy 0.9124 0.7354 0.1770  3 Co 2.89-2.96, 1 Ir 2.98
5 Dy 0.8145 0.7452 0.5598  1 Co 2.81, 2 Ir 2.91-2.98
6 Dy 0.1855 0.2548 0.4402  1 Co 2.81, 2 Ir 2.91-2.98
7 Dy 0.1855 0.7452 0.9307  1 Co 2.81, 2 Ir 2.91-2.98
8 Dy 0.8145 0.2548 0.0693  1 Co 2.81, 2 Ir 2.91-2.98
9 Dy 0.6865 0.3594 0.6729  3 Co 2.68-2.85
10 Dy 0.3135 0.6406 0.3271  3 Co 2.68-2.85
11 Dy 0.3135 0.9864 0.6729  3 Co 2.68-2.85
12 Dy 0.6865 0.0136 0.3271  3 Co 2.68-2.85
13 Co 0.5000 0.3859 0.8859  1 Co 2.18
14 Co 0.5000 0.6141 0.1141  1 Co 2.18
15 Co 0.6642 0.0000 0.6642  8 Dy 2.81-2.89, 1 Co 3.05, 1 Ir 3.12
16 Co 0.3358 0.0000 0.3358  8 Dy 2.81-2.89, 1 Co 3.05, 1 Ir 3.12
17 Ir 0.0000 0.5000 0.5000  4 Dy 2.91
18 Ir 0.0000 0.0000 0.0000  8 Dy 2.98, 2 Co 3.12


No. 5
A plane-wave DFT calculation with GGA-PBE was carried out for a relaxed structure of Dy3CoIr.

Values from the calculation:
Crystal system: monoclinic
Size of the total moment in Bohr magnetons per cell: 0.00
E_tot in Ha/atom: -0.2352
DFT formation energy in eV per atom: -0.45
ρ in g cm⁻³: 10.75
Space-group type: C2/m

a b c (Å): 3.8757 7.6659 7.9384
angles (deg): 89.24 90.01 104.67
Last column: nearest neighbours and their distance in Å.
Fractional positions:
1 Dy 0.0774 0.1877 0.3894  4 Ir 2.85-3.14, 1 Co 3.11
2 Dy 0.4147 0.8633 0.6513  3 Co 2.64-2.71, 1 Ir 2.92
3 Dy 0.6293 0.2908 0.7702  3 Co 2.64-2.71, 1 Ir 2.92
4 Dy 0.9666 0.9664 0.0321  4 Ir 2.85-3.14, 1 Co 3.11
5 Dy 0.2591 0.5510 0.0287  3 Co 2.91-3.04, 3 Ir 2.93-3.17
6 Dy 0.7849 0.6031 0.3928  3 Co 2.91-3.04, 3 Ir 2.93-3.17
7 Co 0.2326 0.4977 0.6503  2 Co 2.47, 3 Dy 2.64-2.71
8 Co 0.8114 0.6564 0.7713  2 Co 2.47, 3 Dy 2.64-2.71
9 Ir 0.4218 0.8769 0.2835  8 Dy 2.85-3.17, 1 Ir 3.17
10 Ir 0.6222 0.2772 0.1380  8 Dy 2.85-3.17, 1 Ir 3.17


No. 6
A plane-wave DFT calculation with GGA-PBE was carried out for a relaxed structure of Dy2Co2Ir.

Values from the calculation:
Crystal system: tetragonal
Size of the total moment in Bohr magnetons per cell: 4.87
E_tot in Ha/atom: -0.2492
DFT formation energy in eV per atom: -0.32
ρ in g cm⁻³: 11.83
Space-group type: P4/mbm

a b c (Å): 6.6176 6.6176 8.1440
angles (deg): 90.00 90.00 90.00
Last column: nearest neighbours and their distance in Å.
Fractional positions:
1 Dy 0.6857 0.8142 0.5000  6 Co 2.74-2.90
2 Dy 0.3143 0.1858 0.5000  6 Co 2.74-2.90
3 Dy 0.8143 0.3142 0.0000  6 Co 2.74-2.90
4 Dy 0.1857 0.6858 0.0000  6 Co 2.74-2.90
5 Dy 0.8142 0.3143 0.5000  6 Co 2.74-2.90
6 Dy 0.1858 0.6857 0.5000  6 Co 2.74-2.90
7 Dy 0.3142 0.1857 0.0000  6 Co 2.74-2.90
8 Dy 0.6858 0.8143 0.0000  6 Co 2.74-2.90
9 Co 0.3810 0.8810 0.2500  1 Co 2.23
10 Co 0.6190 0.1190 0.2500  1 Co 2.23
11 Co 0.1190 0.3810 0.7500  1 Co 2.23
12 Co 0.8810 0.6190 0.7500  1 Co 2.23
13 Co 0.8810 0.6190 0.2500  1 Co 2.23
14 Co 0.1190 0.3810 0.2500  1 Co 2.23
15 Co 0.3810 0.8810 0.7500  1 Co 2.23
16 Co 0.6190 0.1190 0.7500  1 Co 2.23
17 Ir 0.5000 0.5000 0.2499  4 Co 2.64
18 Ir 0.0000 0.0000 0.7499  4 Co 2.64
19 Ir 0.5000 0.5000 0.7501  4 Co 2.64
20 Ir 0.0000 0.0000 0.2501  4 Co 2.64


No. 7
A plane-wave DFT calculation with GGA-PBE was carried out for a relaxed structure of Dy3Co3Ir.

Values from the calculation:
Crystal system: orthorhombic
Size of the total moment in Bohr magnetons per cell: 4.28
E_tot in Ha/atom: -0.2442
DFT formation energy in eV per atom: -0.36
ρ in g cm⁻³: 10.89
Space-group type: Cmcm

a b c (Å): 4.2388 5.3983 12.4072
angles (deg): 90.00 90.00 113.12
Last column: nearest neighbours and their distance in Å.
Fractional positions:
1 Dy 0.2236 0.4473 0.8966  6 Co 2.86-2.97, 1 Ir 3.03
2 Dy 0.7764 0.5527 0.1034  6 Co 2.86-2.97, 1 Ir 3.03
3 Dy 0.2236 0.4473 0.6034  6 Co 2.86-2.97, 1 Ir 3.03
4 Dy 0.7764 0.5527 0.3966  6 Co 2.86-2.97, 1 Ir 3.03
5 Dy 0.5159 0.0318 0.7500  7 Co 2.90-3.02, 2 Ir 3.11
6 Dy 0.4841 0.9682 0.2500  7 Co 2.90-3.02, 2 Ir 3.11
7 Co 0.9323 0.8646 0.9098  1 Co 2.29, 2 Ir 2.49
8 Co 0.0677 0.1354 0.0902  1 Co 2.29, 2 Ir 2.49
9 Co 0.9323 0.8646 0.5902  1 Co 2.29, 2 Ir 2.49
10 Co 0.0677 0.1354 0.4098  1 Co 2.29, 2 Ir 2.49
11 Co 0.8161 0.6322 0.7500  2 Co 2.29
12 Co 0.1839 0.3678 0.2500  2 Co 2.29
13 Ir 0.5000 0.0000 0.0000  4 Co 2.49
14 Ir 0.5000 0.0000 0.5000  4 Co 2.49


No. 8
A plane-wave DFT calculation with GGA-PBE was carried out for a relaxed structure of LaDyCoIr.

Values from the calculation:
Crystal system: cubic
Size of the total moment in Bohr magnetons per cell: 0.57
E_tot in Ha/atom: -0.2480
DFT formation energy in eV per atom: -0.37
ρ in g cm⁻³: 10.87
Space-group type: F-43m

a b c (Å): 4.9240 4.9240 4.9240
angles (deg): 60.00 60.00 60.00
Last column: nearest neighbours and their distance in Å.
Fractional positions:
1 Co 0.5000 0.5000 0.5000  4 Dy 3.02, 4 La 3.02
2 Ir 0.0000 0.0000 0.0000  4 La 3.02, 4 Dy 3.02
3 La 0.2500 0.2500 0.2500  4 Co 3.02, 4 Ir 3.02
4 Dy 0.7500 0.7500 0.7500  4 Ir 3.02, 4 Co 3.02


No. 9
A plane-wave DFT calculation with GGA-PBE was carried out for a relaxed structure of DyLuCoIr.

Values from the calculation:
Crystal system: cubic
Size of the total moment in Bohr magnetons per cell: 0.51
E_tot in Ha/atom: -0.2516
DFT formation energy in eV per atom: -0.57
ρ in g cm⁻³: 12.94
Space-group type: F-43m

a b c (Å): 4.7448 4.7448 4.7448
angles (deg): 60.00 60.00 60.00
Last column: nearest neighbours and their distance in Å.
Fractional positions:
1 Co 0.5000 0.5000 0.5000  4 Dy 2.91, 4 Lu 2.91
2 Ir 0.0000 0.0000 0.0000  4 Lu 2.91, 4 Dy 2.91
3 Lu 0.2500 0.2500 0.2500  4 Co 2.91, 4 Ir 2.91
4 Dy 0.7500 0.7500 0.7500  4 Co 2.91, 4 Ir 2.91


> Look up the size of the total moment of the seventh one.

4.28 Bohr magnetons per cell